[1]
# Sc2SiN

A relaxed structure of Sc2SiN (PBE, Alexandria via LeMat-Bulk).

Structure (POSCAR):
```
Sc2SiN
1.0
2.273 0.000 7.036
-1.136 1.968 7.036
-1.136 -1.968 7.036
N Sc Si
1 2 1
direct
0.000 0.000 0.000
0.912 0.912 0.912
0.088 0.088 0.088
0.500 0.500 0.500
```

Results
The calculation puts the total energy at -27.4 eV per cell. Its total magnetic moment is 0.00 Bohr magnetons per cell. Its density of states at the Fermi level is 0.498 states/eV/atom. As for the space-group type: R-3m. For the volume, the calculation gives 94 Å³/cell. The value obtained for the calculated density is 2.3 Mg/m³.

***

[2]
# Tl2HgSe2O6

A relaxed structure of Tl2HgSe2O6 (PBE, Alexandria via LeMat-Bulk).

Structure (POSCAR):
```
Tl2HgSe2O6
1.0
-5.118 3.333 0.670
-5.117 -2.628 2.159
-1.179 2.136 8.547
O Hg Tl Se
6 1 2 2
direct
0.684 0.242 0.833
0.242 0.242 0.833
0.758 0.316 0.167
0.242 0.684 0.833
0.758 0.758 0.167
0.316 0.758 0.167
0.000 0.000 0.000
0.722 0.722 0.835
0.278 0.278 0.165
0.582 0.582 0.255
0.418 0.418 0.745
```

Results
The calculation puts the total energy at -48.9 eV per cell. Its total magnetic moment is 0.00 Bohr magnetons per cell. Its density of states at the Fermi level is 0.000 states/eV/atom. As for the space-group type: R-3m. For the volume, the calculation gives 266 Å³/cell. The value obtained for the calculated density is 5.4 Mg/m³.

***

[3]
# LiGdRh

A relaxed structure of LiGdRh (PBE, Alexandria via LeMat-Bulk).

Structure (POSCAR):
```
LiGdRh
1.0
3.512 0.000 0.000
0.000 4.346 0.000
0.000 -2.173 3.764
Gd Rh Li
1 1 1
direct
0.667 0.333 0.667
0.167 0.000 0.000
0.166 0.667 0.333
```

Results
The calculation puts the excess energy over the best structure of this formula in the dataset at 0.000 eV/atom. As for the formation energy: -1.19 eV/f.u. Its total magnetic moment is 7.10 Bohr magnetons per cell. Its density of states at the Fermi level is 0.362 states/eV/atom. As for the space-group type: P-6m2. For the volume, the calculation gives 57 Å³/cell. The value obtained for the calculated density is 7.7 Mg/m³.

***

[4]
# Ba2CeAs3Pt4

A relaxed structure of Ba2CeAs3Pt4 (PBE, Alexandria via LeMat-Bulk).

Structure (POSCAR):
```
Ba2CeAs3Pt4
1.0
4.496 0.000 0.000
0.000 4.496 0.000
0.000 0.000 11.453
Pt Ba As Ce
4 2 3 1
direct
0.500 0.000 0.659
0.000 0.500 0.341
0.000 0.000 0.000
0.500 0.500 0.000
0.000 0.500 0.772
0.500 0.000 0.228
0.000 0.500 0.114
0.000 0.000 0.500
0.500 0.000 0.886
0.500 0.500 0.500
```

Results
As for the formation energy: -8.03 eV/f.u. Its total magnetic moment is 0.82 Bohr magnetons per cell. Its density of states at the Fermi level is 1.062 states/eV/atom. As for the space-group type: P-4m2. For the volume, the calculation gives 231 Å³/cell. The value obtained for the calculated density is 10.2 Mg/m³.

***

Look up the volume of the second one.
266 Å³/cell